1.
Computed, not measured: TiCo2Br after structural relaxation at the PBE level of DFT.

```
data_TiCo2Br
_space_group_name_H-M_alt 'P 1'
_space_group_IT_number 1
_cell_length_a 5.314
_cell_length_b 5.314
_cell_length_c 6.509
_cell_angle_alpha 65.91
_cell_angle_beta 65.91
_cell_angle_gamma 90.00
loop_
_space_group_symop_operation_xyz
'x,y,z'
loop_
_atom_site_label
_atom_site_type_symbol
_atom_site_fract_x
_atom_site_fract_y
_atom_site_fract_z
Br1 Br 0.000 0.000 0.000
Br2 Br 0.750 0.250 0.500
Co1 Co 0.375 0.374 0.750
Co2 Co 0.875 0.876 0.750
Co3 Co 0.626 0.125 0.250
Co4 Co 0.124 0.625 0.250
Ti1 Ti 0.500 0.500 0.000
Ti2 Ti 0.250 0.750 0.500
```

Output
Distance to the lowest polymorph of the same formula ... 110 meV/atom
E_form (uncorrected) ... 2.639 eV per formula unit

=====

2.
Computed, not measured: CaZn2GaRh2 after structural relaxation at the PBE level of DFT.

```
data_CaZn2GaRh2
_space_group_name_H-M_alt 'P 1'
_space_group_IT_number 1
_cell_length_a 4.620
_cell_length_b 4.620
_cell_length_c 5.607
_cell_angle_alpha 90.00
_cell_angle_beta 90.00
_cell_angle_gamma 90.00
loop_
_space_group_symop_operation_xyz
'x,y,z'
loop_
_atom_site_label
_atom_site_type_symbol
_atom_site_fract_x
_atom_site_fract_y
_atom_site_fract_z
Ga1 Ga 0.000 0.000 0.000
Ca1 Ca 0.000 0.000 0.500
Rh1 Rh 0.000 0.500 0.000
Rh2 Rh 0.500 0.000 0.000
Zn1 Zn 0.500 0.500 0.749
Zn2 Zn 0.500 0.500 0.251
```

Output
Formation energy ... -0.239 eV/atom

=====

3.
Computed, not measured: Nd6Bi2C after structural relaxation at the PBE level of DFT.

```
data_Nd6Bi2C
_space_group_name_H-M_alt 'P 1'
_space_group_IT_number 1
_cell_length_a 7.214
_cell_length_b 7.214
_cell_length_c 10.169
_cell_angle_alpha 90.00
_cell_angle_beta 89.98
_cell_angle_gamma 90.00
loop_
_space_group_symop_operation_xyz
'x,y,z'
loop_
_atom_site_label
_atom_site_type_symbol
_atom_site_fract_x
_atom_site_fract_y
_atom_site_fract_z
Nd1 Nd 0.500 0.500 0.753
Nd2 Nd 0.000 0.000 0.747
Nd3 Nd 0.745 0.747 0.000
Nd4 Nd 0.247 0.245 0.500
Nd5 Nd 0.255 0.253 0.000
Nd6 Nd 0.000 0.000 0.253
Nd7 Nd 0.755 0.247 0.500
Nd8 Nd 0.747 0.255 0.000
Nd9 Nd 0.245 0.753 0.500
Nd10 Nd 0.500 0.500 0.247
Nd11 Nd 0.253 0.745 0.000
Nd12 Nd 0.753 0.755 0.500
Bi1 Bi 0.500 0.000 0.750
Bi2 Bi 0.000 0.500 0.250
Bi3 Bi 0.500 0.000 0.250
Bi4 Bi 0.000 0.500 0.750
C1 C 0.000 0.000 0.500
C2 C 0.500 0.500 0.000
```

Output
Formation energy ... -0.410 eV/atom
Distance to the lowest polymorph of the same formula ... 31 meV/atom

=====

4.
Computed, not measured: Li2TlSe after structural relaxation at the PBE level of DFT.

```
data_Li2TlSe
_space_group_name_H-M_alt 'P 1'
_space_group_IT_number 1
_cell_length_a 5.839
_cell_length_b 5.839
_cell_length_c 5.839
_cell_angle_alpha 139.90
_cell_angle_beta 139.90
_cell_angle_gamma 58.01
loop_
_space_group_symop_operation_xyz
'x,y,z'
loop_
_atom_site_label
_atom_site_type_symbol
_atom_site_fract_x
_atom_site_fract_y
_atom_site_fract_z
Li1 Li 0.000 0.000 0.000
Li2 Li 0.250 0.750 0.500
Se1 Se 0.500 0.500 0.000
Tl1 Tl 0.750 0.250 0.500
```

Output
E_form (uncorrected) ... -2.116 eV per formula unit

=====

5.
Computed, not measured: Ag5HgO3 after structural relaxation at the PBE level of DFT.

```
data_Ag5HgO3
_space_group_name_H-M_alt 'P 1'
_space_group_IT_number 1
_cell_length_a 6.348
_cell_length_b 6.348
_cell_length_c 8.434
_cell_angle_alpha 84.69
_cell_angle_beta 84.69
_cell_angle_gamma 69.70
loop_
_space_group_symop_operation_xyz
'x,y,z'
loop_
_atom_site_label
_atom_site_type_symbol
_atom_site_fract_x
_atom_site_fract_y
_atom_site_fract_z
O1 O 0.000 0.000 0.000
O2 O 0.626 0.626 0.419
O3 O 0.728 0.728 0.785
O4 O 0.272 0.272 0.215
O5 O 0.000 0.000 0.500
O6 O 0.374 0.374 0.581
Ag1 Ag 0.752 0.752 0.045
Ag2 Ag 0.689 0.311 0.000
Ag3 Ag 0.248 0.248 0.955
Ag4 Ag 0.311 0.689 0.000
Ag5 Ag 0.547 0.547 0.694
Ag6 Ag 0.453 0.453 0.306
Ag7 Ag 0.055 0.563 0.681
Ag8 Ag 0.563 0.055 0.681
Ag9 Ag 0.945 0.437 0.319
Ag10 Ag 0.437 0.945 0.319
Hg1 Hg 0.924 0.924 0.278
Hg2 Hg 0.076 0.076 0.722
```

Output
E_form (uncorrected) ... 0.029 eV per formula unit

=====

6.
Computed, not measured: YErGaGe after structural relaxation at the PBE level of DFT.

```
data_YErGaGe
_space_group_name_H-M_alt 'P 1'
_space_group_IT_number 1
_cell_length_a 4.305
_cell_length_b 3.992
_cell_length_c 5.788
_cell_angle_alpha 90.00
_cell_angle_beta 111.83
_cell_angle_gamma 90.00
loop_
_space_group_symop_operation_xyz
'x,y,z'
loop_
_atom_site_label
_atom_site_type_symbol
_atom_site_fract_x
_atom_site_fract_y
_atom_site_fract_z
Ga1 Ga 0.580 0.500 0.160
Er1 Er 0.860 0.500 0.721
Y1 Y 0.140 0.000 0.279
Ge1 Ge 0.420 0.000 0.840
```

Output
Formation energy ... -0.802 eV/atom
Distance to the lowest polymorph of the same formula ... 0 meV/atom

=====

7.
Computed, not measured: BaZn6Ag6 after structural relaxation at the PBE level of DFT.

```
data_BaZn6Ag6
_space_group_name_H-M_alt 'P 1'
_space_group_IT_number 1
_cell_length_a 5.291
_cell_length_b 7.264
_cell_length_c 7.264
_cell_angle_alpha 82.80
_cell_angle_beta 68.64
_cell_angle_gamma 68.64
loop_
_space_group_symop_operation_xyz
'x,y,z'
loop_
_atom_site_label
_atom_site_type_symbol
_atom_site_fract_x
_atom_site_fract_y
_atom_site_fract_z
Zn1 Zn 0.500 0.500 0.000
Zn2 Zn 0.500 0.236 0.764
Zn3 Zn 0.500 0.764 0.236
Zn4 Zn 0.000 0.000 0.500
Zn5 Zn 0.000 0.500 0.000
Zn6 Zn 0.500 0.000 0.500
Ag1 Ag 0.723 0.777 0.777
Ag2 Ag 0.277 0.223 0.223
Ag3 Ag 0.000 0.349 0.651
Ag4 Ag 0.000 0.651 0.349
Ag5 Ag 0.353 0.647 0.647
Ag6 Ag 0.647 0.353 0.353
Ba1 Ba 0.000 0.000 0.000
```

Output
Formation energy ... -0.099 eV/atom

=====

8.
Computed, not measured: BeTlZn3 after structural relaxation at the PBE level of DFT.

```
data_BeTlZn3
_space_group_name_H-M_alt 'P 1'
_space_group_IT_number 1
_cell_length_a 5.219
_cell_length_b 5.219
_cell_length_c 5.219
_cell_angle_alpha 90.00
_cell_angle_beta 90.00
_cell_angle_gamma 90.00
loop_
_space_group_symop_operation_xyz
'x,y,z'
loop_
_atom_site_label
_atom_site_type_symbol
_atom_site_fract_x
_atom_site_fract_y
_atom_site_fract_z
Zn1 Zn 0.500 0.000 0.000
Zn2 Zn 0.000 0.000 0.500
Zn3 Zn 0.000 0.500 0.000
Be1 Be 0.500 0.500 0.500
Tl1 Tl 0.000 0.000 0.000
```

Output
Formation energy ... 1.078 eV/atom
Distance to the lowest polymorph of the same formula ... 826 meV/atom

=====

9.
Computed, not measured: MnCuH3 after structural relaxation at the PBE level of DFT.

```
data_MnCuH3
_space_group_name_H-M_alt 'P 1'
_space_group_IT_number 1
_cell_length_a 3.377
_cell_length_b 3.377
_cell_length_c 3.377
_cell_angle_alpha 90.00
_cell_angle_beta 90.00
_cell_angle_gamma 90.00
loop_
_space_group_symop_operation_xyz
'x,y,z'
loop_
_atom_site_label
_atom_site_type_symbol
_atom_site_fract_x
_atom_site_fract_y
_atom_site_fract_z
Cu1 Cu 0.000 0.000 0.000
H1 H 0.000 0.500 0.000
H2 H 0.500 0.000 0.000
H3 H 0.000 0.000 0.500
Mn1 Mn 0.500 0.500 0.500
```

Output
Calculated total energy ... -4.27 eV per atom

=====

10.
Computed, not measured: LuThGeAu after structural relaxation at the PBE level of DFT.

```
data_LuThGeAu
_space_group_name_H-M_alt 'P 1'
_space_group_IT_number 1
_cell_length_a 5.133
_cell_length_b 5.133
_cell_length_c 5.133
_cell_angle_alpha 60.00
_cell_angle_beta 60.00
_cell_angle_gamma 60.00
loop_
_space_group_symop_operation_xyz
'x,y,z'
loop_
_atom_site_label
_atom_site_type_symbol
_atom_site_fract_x
_atom_site_fract_y
_atom_site_fract_z
Au1 Au 0.750 0.750 0.750
Th1 Th 0.500 0.500 0.500
Lu1 Lu 0.000 0.000 0.000
Ge1 Ge 0.250 0.250 0.250
```

Output
Formation energy ... -0.602 eV/atom

=====

11.
Computed, not measured: Li2MgZnHg4 after structural relaxation at the PBE level of DFT.

```
data_Li2MgZnHg4
_space_group_name_H-M_alt 'P 1'
_space_group_IT_number 1
_cell_length_a 4.811
_cell_length_b 4.811
_cell_length_c 8.277
_cell_angle_alpha 73.11
_cell_angle_beta 73.11
_cell_angle_gamma 60.00
loop_
_space_group_symop_operation_xyz
'x,y,z'
loop_
_atom_site_label
_atom_site_type_symbol
_atom_site_fract_x
_atom_site_fract_y
_atom_site_fract_z
Mg1 Mg 0.000 0.000 0.000
Hg1 Hg 0.127 0.127 0.620
Hg2 Hg 0.375 0.375 0.876
Hg3 Hg 0.625 0.625 0.124
Hg4 Hg 0.873 0.873 0.380
Li1 Li 0.751 0.751 0.747
Li2 Li 0.249 0.249 0.253
Zn1 Zn 0.500 0.500 0.500
```

Output
Formation energy ... -0.236 eV/atom

=====

12.
Computed, not measured: AcTb2Zr after structural relaxation at the PBE level of DFT.

```
data_AcTb2Zr
_space_group_name_H-M_alt 'P 1'
_space_group_IT_number 1
_cell_length_a 5.095
_cell_length_b 4.978
_cell_length_c 4.978
_cell_angle_alpha 90.00
_cell_angle_beta 90.00
_cell_angle_gamma 90.00
loop_
_space_group_symop_operation_xyz
'x,y,z'
loop_
_atom_site_label
_atom_site_type_symbol
_atom_site_fract_x
_atom_site_fract_y
_atom_site_fract_z
Tb1 Tb 0.000 0.500 0.000
Tb2 Tb 0.000 0.000 0.500
Zr1 Zr 0.500 0.000 0.000
Ac1 Ac 0.500 0.500 0.500
```

Output
Formation energy ... 0.165 eV/atom
Distance to the lowest polymorph of the same formula ... 7 meV/atom

=====

Copy entry 3 word for word.
Computed, not measured: Nd6Bi2C after structural relaxation at the PBE level of DFT.

```
data_Nd6Bi2C
_space_group_name_H-M_alt 'P 1'
_space_group_IT_number 1
_cell_length_a 7.214
_cell_length_b 7.214
_cell_length_c 10.169
_cell_angle_alpha 90.00
_cell_angle_beta 89.98
_cell_angle_gamma 90.00
loop_
_space_group_symop_operation_xyz
'x,y,z'
loop_
_atom_site_label
_atom_site_type_symbol
_atom_site_fract_x
_atom_site_fract_y
_atom_site_fract_z
Nd1 Nd 0.500 0.500 0.753
Nd2 Nd 0.000 0.000 0.747
Nd3 Nd 0.745 0.747 0.000
Nd4 Nd 0.247 0.245 0.500
Nd5 Nd 0.255 0.253 0.000
Nd6 Nd 0.000 0.000 0.253
Nd7 Nd 0.755 0.247 0.500
Nd8 Nd 0.747 0.255 0.000
Nd9 Nd 0.245 0.753 0.500
Nd10 Nd 0.500 0.500 0.247
Nd11 Nd 0.253 0.745 0.000
Nd12 Nd 0.753 0.755 0.500
Bi1 Bi 0.500 0.000 0.750
Bi2 Bi 0.000 0.500 0.250
Bi3 Bi 0.500 0.000 0.250
Bi4 Bi 0.000 0.500 0.750
C1 C 0.000 0.000 0.500
C2 C 0.500 0.500 0.000
```

Output
Formation energy ... -0.410 eV/atom
Distance to the lowest polymorph of the same formula ... 31 meV/atom